# 1
! BAsW3 PBEsol optimized geometry; values from VASP
&SYSTEM
  ibrav = 0, nat = 5, ntyp = 3
/
ATOMIC_SPECIES
As 74.92 As.upf
B 10.81 B.upf
W 183.84 W.upf
CELL_PARAMETERS angstrom
4.1714 0.0000 0.0000
0.0000 4.1714 0.0000
0.0000 0.0000 4.1714
ATOMIC_POSITIONS crystal
As 0.5000 0.5000 0.5000
B 0.0000 0.0000 0.0000
W 0.0000 0.5000 0.0000
W 0.0000 0.0000 0.5000
W 0.5000 0.0000 0.0000
! uncorrected energy: -10.060 eV/atom
! calculated formation energy: 0.6490 eV per atom

***

# 2
! ScBe2Co PBEsol optimized geometry; values from VASP
&SYSTEM
  ibrav = 0, nat = 4, ntyp = 3
/
ATOMIC_SPECIES
Sc 44.96 Sc.upf
Be 9.01 Be.upf
Co 58.93 Co.upf
CELL_PARAMETERS angstrom
-3.4087 -0.5333 -1.2804
-2.6426 -1.2169 2.2536
-3.0282 3.4703 1.3277
ATOMIC_POSITIONS crystal
Sc 0.2476 0.2476 0.2572
Be 0.0549 0.0549 0.8353
Be 0.7523 0.7523 0.7430
Co 0.4452 0.4452 0.6645
! uncorrected energy: -5.747 eV/atom
! calculated formation energy: -0.1610 eV per atom

***

# 3
! In2AsCl PBEsol optimized geometry; values from VASP
&SYSTEM
  ibrav = 0, nat = 4, ntyp = 3
/
ATOMIC_SPECIES
As 74.92 As.upf
Cl 35.45 Cl.upf
In 114.82 In.upf
CELL_PARAMETERS angstrom
4.9976 0.0000 0.0000
2.4988 4.3281 0.0000
2.4988 1.4427 4.0805
ATOMIC_POSITIONS crystal
As 0.0000 0.0000 0.0000
Cl 0.5000 0.5000 0.5000
In 0.7500 0.7500 0.7500
In 0.2500 0.2500 0.2500
! uncorrected energy: -3.540 eV/atom
! E_form (uncorrected): -1.08 eV/f.u.
! excess energy over the best structure of this formula in the dataset: 79 meV per atom

***

# 4
! SbAs2Pb PBEsol optimized geometry; values from VASP
&SYSTEM
  ibrav = 0, nat = 4, ntyp = 3
/
ATOMIC_SPECIES
Pb 207.20 Pb.upf
Sb 121.76 Sb.upf
As 74.92 As.upf
CELL_PARAMETERS angstrom
-2.8976 -0.8051 2.7743
2.8848 -0.6018 2.8384
-0.2229 5.8783 1.4730
ATOMIC_POSITIONS crystal
Pb 0.0000 0.0000 0.3938
Sb 0.5000 0.5000 0.9022
As 0.0000 0.0000 0.8649
As 0.5000 0.5000 0.3391
! uncorrected energy: -4.658 eV/atom
! E_form (uncorrected): 0.14 eV/f.u.
! excess energy over the best structure of this formula in the dataset: 1 meV per atom

***

| no. | calculated volume (Å³/f.u.) |
| --- | --- |
| 1 | 72.6 |
| 2 | 50.4 |
| 3 | 88.3 |
| 4 | 101.5 |